Computed, not measured: a relaxed structure of ZrTaNb3 at the GGA-PBE level of DFT.

It has space group Pm-3m (No. 221), with a = 4.832 Å, b = 4.832 Å, c = 4.832 Å, α = 90.00°, β = 90.00° and γ = 90.00°. The inequivalent atoms are Zr at (0.000, 0.000, 0.000), Ta at (0.500, 0.500, 0.500) and Nb at (0.000, 0.000, 0.500).

Its mass density is 8.1 g/cm³. As for the crystal system: cubic. As for the size of the total moment: 0.00 μB/cell. The calculation puts the energy above the most stable polymorph in this dataset at 1.7214 eV per atom. Its final energy is -41.80 eV/cell.